Entry from Alexandria: a relaxed structure of CdSN2 (GGA-PBE).

raw total energy = -0.1585 hartree per atom
energy relative to the elements, uncorrected = 1.112 eV per atom
volume = 112 Å³ per cell

Cell: 4.723 4.723 6.030 Å, 66.95 66.95 90.00°
Element x y z (fractional)
N 0.875 0.799 0.750
N 0.201 0.625 0.250
N 0.549 0.125 0.250
N 0.375 0.451 0.750
S 0.500 0.500 0.000
S 0.250 0.750 0.500
Cd 0.750 0.250 0.500
Cd 0.000 0.000 0.000

=====

Entry from Alexandria: a relaxed structure of CsSi2Pb2 (GGA-PBE).

raw total energy = -0.1306 hartree per atom
energy relative to the elements, uncorrected = 0.271 eV per atom
volume = 358 Å³ per cell

Cell: 9.520 9.520 3.954 Å, 90.00 90.00 90.00°
Element x y z (fractional)
Pb 0.629 0.129 0.000
Pb 0.871 0.629 0.000
Pb 0.371 0.871 0.000
Pb 0.129 0.371 0.000
Si 0.596 0.904 0.500
Si 0.096 0.596 0.500
Si 0.904 0.404 0.500
Si 0.404 0.096 0.500
Cs 0.000 0.000 0.000
Cs 0.500 0.500 0.000

=====

Entry from Alexandria: a relaxed structure of RbTlS2 (GGA-PBE).

raw total energy = -0.1278 hartree per atom
energy relative to the elements, uncorrected = -0.580 eV per atom
volume = 266 Å³ per cell

Cell: 9.186 6.769 4.410 Å, 90.00 76.11 91.04°
Element x y z (fractional)
Rb 0.910 0.932 0.779
Rb 0.292 0.481 0.589
S 0.646 0.077 0.411
S 0.004 0.510 0.233
S 0.591 0.595 0.938
S 0.104 0.233 0.182
Tl 0.444 0.991 0.012
Tl 0.715 0.441 0.376

=====

Entry from Alexandria: a relaxed structure of Ca3NF (GGA-PBE).

raw total energy = -0.1676 hartree per atom
energy relative to the elements, uncorrected = -1.321 eV per atom
volume = 261 Å³ per cell

Cell: 6.571 6.822 6.877 Å, 103.27 118.54 90.00°
Element x y z (fractional)
N 0.841 0.004 0.683
N 0.159 0.996 0.317
F 0.568 0.755 0.136
F 0.432 0.245 0.864
Ca 0.935 0.768 0.386
Ca 0.065 0.232 0.614
Ca 0.951 0.770 0.902
Ca 0.451 0.768 0.386
Ca 0.049 0.230 0.098
Ca 0.549 0.232 0.614

=====

Entry from Alexandria: a relaxed structure of ScAlZnCd (GGA-PBE).

raw total energy = -0.1186 hartree per atom
ΔH_f (0 K) = -0.161 eV/atom
volume = 75 Å³ per cell

Cell: 4.724 4.724 4.724 Å, 60.00 60.00 60.00°
Element x y z (fractional)
Zn 0.500 0.500 0.500
Al 0.250 0.250 0.250
Cd 0.000 0.000 0.000
Sc 0.750 0.750 0.750

=====

Entry from Alexandria: a relaxed structure of ReS (GGA-PBE).

raw total energy = -0.2924 hartree per atom
energy relative to the elements, uncorrected = 0.331 eV per atom
volume = 144 Å³ per cell

Cell: 5.241 5.241 5.241 Å, 90.00 90.00 90.00°
Element x y z (fractional)
Re 0.500 0.000 0.500
Re 0.000 0.000 0.000
Re 0.000 0.500 0.500
Re 0.500 0.500 0.000
S 0.250 0.250 0.250
S 0.750 0.750 0.250
S 0.750 0.250 0.750
S 0.250 0.750 0.750

=====

Entry from Alexandria: a relaxed structure of Pa2Ga4Cu3Pd (GGA-PBE).

raw total energy = -0.1910 hartree per atom
ΔH_f (0 K) = -0.339 eV/atom
volume = 174 Å³ per cell

Cell: 4.177 4.177 9.990 Å, 90.00 90.00 90.00°
Element x y z (fractional)
Pa 0.000 0.500 0.750
Pa 0.500 0.000 0.250
Pd 0.500 0.500 0.500
Ga 0.000 0.500 0.363
Ga 0.500 0.000 0.637
Ga 0.000 0.000 0.000
Ga 0.500 0.500 0.000
Cu 0.000 0.000 0.500
Cu 0.500 0.000 0.871
Cu 0.000 0.500 0.129

=====

Entry from Alexandria: a relaxed structure of Hf2In2Cu (GGA-PBE).

raw total energy = -0.2106 hartree per atom
ΔH_f (0 K) = 0.166 eV/atom
volume = 223 Å³ per cell

Cell: 6.881 6.881 4.712 Å, 90.00 90.00 90.00°
Element x y z (fractional)
Cu 0.500 0.500 0.000
Cu 0.000 0.000 0.000
Hf 0.656 0.156 0.000
Hf 0.344 0.844 0.000
Hf 0.156 0.344 0.000
Hf 0.844 0.656 0.000
In 0.843 0.343 0.500
In 0.157 0.657 0.500
In 0.657 0.843 0.500
In 0.343 0.157 0.500